This record from Alexandria describes a relaxed BaH2WBr crystal. The functional is GGA-PBE.

Computed properties:
The value obtained for the energy is -4.197 eV per atom. For the calculated volume, the calculation gives 121.7 Å³ per cell. As for the space group: P4/mmm (123).

The structure in POSCAR format:
```
BaH2WBr
1.0
-4.202 -0.815 0.352
1.311 -6.418 0.786
0.245 0.570 4.249
W H Br Ba
1 2 1 1
Direct
0.000 0.000 0.000
0.000 0.000 0.500
0.500 0.000 0.000
0.500 0.500 0.500
0.000 0.500 0.000
```